1.
First-principles (GGA-PBE) data for crystalline Cs2TlCd2In at its relaxed geometry, as listed in Alexandria.

a = 7.696 Å, b = 7.688 Å, c = 10.237 Å
α = 112.09°, β = 112.08°, γ = 90.00°
Element x y z (fractional)
Cs 0.673 0.927 0.345
Cs 0.173 0.418 0.345
Cs 0.827 0.582 0.655
Cs 0.327 0.073 0.655
Tl 0.250 0.000 0.000
Tl 0.750 0.000 0.000
Cd 0.416 0.654 0.831
Cd 0.584 0.346 0.169
Cd 0.085 0.823 0.169
Cd 0.915 0.177 0.831
In 0.750 0.500 0.000
In 0.250 0.500 0.000

Output
For the formation enthalpy at 0 K, the calculation gives -0.069 eV/atom.


2.
First-principles (GGA-PBE) data for crystalline Ac6CeSe8 at its relaxed geometry, as listed in Alexandria.

a = 8.887 Å, b = 8.887 Å, c = 8.887 Å
α = 60.00°, β = 60.00°, γ = 60.00°
Each line ends with the local moment (μB).
Element x y z (fractional)
Ac 0.000 0.500 0.500  0.02
Ac 0.500 0.000 0.000  0.02
Ac 0.500 0.500 0.000  0.02
Ac 0.000 0.000 0.500  0.02
Ac 0.000 0.500 0.000  0.02
Ac 0.500 0.000 0.500  0.02
Ce 0.000 0.000 0.000  1.07
Se 0.750 0.750 0.750  0.00
Se 0.250 0.250 0.250  0.00
Se 0.757 0.243 0.243  -0.01
Se 0.243 0.757 0.757  -0.01
Se 0.243 0.243 0.757  -0.01
Se 0.757 0.757 0.243  -0.01
Se 0.757 0.243 0.757  -0.01
Se 0.243 0.757 0.243  -0.01

Output
The value obtained for the total energy is -5.781 eV/atom.


3.
First-principles (GGA-PBE) data for crystalline CaCuOs at its relaxed geometry, as listed in Alexandria.

a = 4.394 Å, b = 4.394 Å, c = 4.394 Å
α = 60.00°, β = 60.00°, γ = 60.00°
Each line ends with the local moment (μB).
Element x y z (fractional)
Ca 0.500 0.500 0.500  -0.02
Os 0.000 0.000 0.000  1.03
Cu 0.250 0.250 0.250  0.13

Output
The distance to the lowest polymorph of the same formula is 460 meV per atom. For the formation enthalpy at 0 K, the calculation gives 0.887 eV/atom.